No. 1
MgBe2Si | PBE | optimized geometry

Computed properties:
**Electronic total energy**: -3.12 eV/atom
**Crystal system**: trigonal
**Distance to the lowest polymorph of the same formula**: 0.449 eV per atom
**ΔE_f (raw)**: 0.50 eV/atom

Lattice parameters (Å, degrees): 7.9080 7.9080 7.9080 20.77 20.77 20.77
Closest atoms and distances in Å follow each position.
Sites, in units of the cell vectors:
Be (0.0096, 0.0096, 0.0096)  3 Si 2.37
Be (0.4904, 0.4904, 0.4904)  3 Si 2.37
Mg (0.2500, 0.2500, 0.2500)  6 Be 2.71, 6 Mg 2.85
Si (0.7500, 0.7500, 0.7500)  6 Be 2.37

=====

No. 2
MgBe2Si | PBE | optimized geometry

Computed properties:
**Electronic total energy**: -3.57 eV/atom
**Crystal system**: triclinic
**Distance to the lowest polymorph of the same formula**: 0.000 eV per atom
**ΔE_f (raw)**: 0.05 eV/atom

Lattice parameters (Å, degrees): 3.6068 4.4763 7.0264 90.67 104.55 89.97
Closest atoms and distances in Å follow each position.
Sites, in units of the cell vectors:
Be (0.0000, 0.5000, 0.0000)  6 Be 2.21-2.24, 2 Si 2.29
Be (0.4561, 0.7481, 0.9107)  4 Be 2.21, 2 Si 2.28
Be (0.0000, 0.0000, 0.0000)  6 Be 2.21-2.24, 2 Si 2.29
Be (0.5439, 0.2519, 0.0893)  4 Be 2.21, 2 Si 2.28
Mg (0.6489, 0.7563, 0.3045)  7 Be 2.67-2.97, 5 Si 2.73-2.88
Mg (0.3511, 0.2437, 0.6955)  7 Be 2.67-2.97, 5 Si 2.73-2.88
Si (0.8567, 0.7452, 0.7059)  4 Be 2.28-2.29
Si (0.1433, 0.2548, 0.2941)  4 Be 2.28-2.29

=====

No. 3
MgBe2Si | PBE | optimized geometry

Computed properties:
**Electronic total energy**: -3.54 eV/atom
**Crystal system**: monoclinic
**Distance to the lowest polymorph of the same formula**: 0.028 eV per atom
**ΔE_f (raw)**: 0.08 eV/atom

Lattice parameters (Å, degrees): 4.2413 3.6950 7.2206 90.00 106.36 90.00
Closest atoms and distances in Å follow each position.
Sites, in units of the cell vectors:
Be (0.5433, 0.2500, 0.9286)  5 Be 2.17-2.25, 1 Si 2.20
Be (0.4567, 0.7500, 0.0714)  5 Be 2.17-2.25, 1 Si 2.20
Be (0.1516, 0.2500, 0.0685)  5 Be 2.17-2.31, 3 Si 2.34-2.37
Be (0.8484, 0.7500, 0.9315)  5 Be 2.17-2.31, 3 Si 2.34-2.37
Si (0.1373, 0.7500, 0.2639)  4 Be 2.20-2.37
Si (0.8627, 0.2500, 0.7361)  4 Be 2.20-2.37
Mg (0.3001, 0.7500, 0.6559)  4 Be 2.60-2.88, 3 Si 2.72-2.79
Mg (0.6999, 0.2500, 0.3441)  4 Be 2.60-2.88, 3 Si 2.72-2.79

=====

No. 4
MgBe2Si | PBE | optimized geometry

Computed properties:
**Electronic total energy**: -3.25 eV/atom
**Crystal system**: tetragonal
**Distance to the lowest polymorph of the same formula**: 0.323 eV per atom
**ΔE_f (raw)**: 0.37 eV/atom

Lattice parameters (Å, degrees): 4.4860 4.4860 4.4860 130.28 130.24 72.99
Closest atoms and distances in Å follow each position.
Sites, in units of the cell vectors:
Be (0.0002, 0.0002, 0.0000)  4 Si 2.61, 4 Mg 2.61, 4 Be 2.67
Be (0.4998, 0.4998, 0.0000)  4 Si 2.61, 4 Mg 2.61, 4 Be 2.67
Mg (0.7500, 0.2500, 0.5000)  8 Be 2.61, 4 Si 2.67
Si (0.2500, 0.7500, 0.5000)  8 Be 2.61, 4 Mg 2.67

=====

No. 5
Mg2BeSi | PBE | optimized geometry

Computed properties:
**Electronic total energy**: -2.86 eV/atom
**Crystal system**: tetragonal
**Distance to the lowest polymorph of the same formula**: 0.201 eV per atom
**ΔE_f (raw)**: 0.22 eV/atom

Lattice parameters (Å, degrees): 3.8711 4.0634 4.0634 90.00 90.00 90.00
Closest atoms and distances in Å follow each position.
Sites, in units of the cell vectors:
Mg (0.0000, 0.5000, 0.5000)  4 Be 2.81, 4 Si 2.81, 4 Mg 2.87
Mg (0.0000, 0.0000, 0.0000)  4 Si 2.81, 4 Be 2.81, 4 Mg 2.87
Si (0.5000, 0.5000, 0.0000)  8 Mg 2.81, 4 Be 2.87
Be (0.5000, 0.0000, 0.5000)  8 Mg 2.81, 4 Si 2.87

=====

No. 6
ThMg2BeSi2 | PBE | optimized geometry

Computed properties:
**Electronic total energy**: -4.17 eV/atom
**Crystal system**: tetragonal
**ΔE_f (raw)**: 0.03 eV/atom

Lattice parameters (Å, degrees): 4.1485 4.1485 7.9047 105.21 105.21 90.00
Closest atoms and distances in Å follow each position.
Sites, in units of the cell vectors:
Mg (0.2500, 0.7500, 0.5000)  4 Si 2.66, 4 Mg 2.93
Mg (0.7500, 0.2500, 0.5000)  4 Si 2.66, 4 Mg 2.93
Th (0.5000, 0.5000, 0.0000)  4 Be 2.93
Be (0.0000, 0.0000, 0.0000)  2 Si 2.00
Si (0.8639, 0.8639, 0.7278)  1 Be 2.00
Si (0.1361, 0.1361, 0.2722)  1 Be 2.00